Computed, not measured: a relaxed Re2SnN crystal at the PBE-GGA level of DFT.

a = 6.1707 Å, b = 6.1707 Å, c = 6.1707 Å
α = 90.00°, β = 90.00°, γ = 90.00°
Space group Fm-3m (No. 225)
Asymmetric unit:
Re1 0.2500 0.2500 0.2500 x8
Sn1 0.0000 0.0000 0.0000 x4
N1 0.0000 0.0000 0.5000 x4

- formation energy from raw total energies (eV per atom) = 1.618
- energy above the lowest structure with this stoichiometry (meV/atom) = 1112

Computed, not measured: a relaxed AlPbIO6 crystal at the PBE-GGA level of DFT.

a = 5.1161 Å, b = 5.1161 Å, c = 5.5173 Å
α = 90.00°, β = 90.00°, γ = 120.00°
Space group P312 (No. 149)
Asymmetric unit:
Al1 0.0000 0.0000 0.0000 x1
Pb1 0.6667 0.3333 0.5000 x1
I1 0.3333 0.6667 0.0000 x1
O1 0.0507 0.3361 0.1947 x6

- formation energy from raw total energies (eV per atom) = -1.301

Computed, not measured: a relaxed NaPuAgO5 crystal at the PBE-GGA level of DFT.

a = 6.7596 Å, b = 9.7915 Å, c = 8.1470 Å
α = 90.00°, β = 110.88°, γ = 90.00°
Space group C2/c (No. 15)
Asymmetric unit:
Na1 0.0000 0.1954 0.2500 x4
Pu1 0.0000 0.5000 0.0000 x4
Ag1 0.0000 0.1579 0.7500 x4
O1 0.0000 0.4390 0.2500 x4
O2 0.0077 0.3061 0.5494 x8
O3 0.1922 0.0045 0.4143 x8

- formation energy from raw total energies (eV per atom) = -1.603

Computed, not measured: a relaxed KIr2Os crystal at the PBE-GGA level of DFT.

a = 2.7825 Å, b = 4.7257 Å, c = 10.3755 Å
α = 90.00°, β = 90.00°, γ = 90.00°
Space group Cmm2 (No. 35)
Asymmetric unit:
K1 0.0000 0.0000 0.0000 x2
Ir1 0.0000 0.0000 0.5037 x2
Ir2 0.0000 0.5000 0.7281 x2
Os1 0.0000 0.5000 0.2868 x2

- energy above the lowest structure with this stoichiometry (meV/atom) = 351
- E_form (eV/atom) = 0.832

Computed, not measured: a relaxed TaNbAg crystal at the PBE-GGA level of DFT.

a = 2.8218 Å, b = 5.6120 Å, c = 7.2260 Å
α = 98.46°, β = 98.83°, γ = 103.16°
Space group P-1 (No. 2)
Asymmetric unit:
Ta1 0.1751 0.0857 0.3411 x2
Nb1 0.1655 0.5846 0.3373 x2
Ag1 0.4855 0.2474 0.9999 x2

- energy above the lowest structure with this stoichiometry (meV/atom) = 0
- E_form (eV/atom) = 0.114

Computed, not measured: a relaxed Pr4DyPb5 crystal at the PBE-GGA level of DFT.

a = 3.6070 Å, b = 3.6070 Å, c = 23.1802 Å
α = 90.00°, β = 90.00°, γ = 90.00°
Space group P4/mmm (No. 123)
Asymmetric unit:
Pr1 0.0000 0.0000 0.1012 x2
Pr2 0.0000 0.0000 0.3033 x2
Dy1 0.0000 0.0000 0.5000 x1
Pb1 0.5000 0.5000 0.0000 x1
Pb2 0.5000 0.5000 0.2024 x2
Pb3 0.5000 0.5000 0.4054 x2

- E_form (eV/atom) = -0.505

Computed, not measured: a relaxed LiCd2Fe2 crystal at the PBE-GGA level of DFT.

a = 7.8700 Å, b = 7.8700 Å, c = 2.8121 Å
α = 90.00°, β = 90.00°, γ = 90.00°
Space group P4/mbm (No. 127)
Asymmetric unit:
Li1 0.0000 0.0000 0.0000 x2
Cd1 0.1894 0.3106 0.5000 x4
Fe1 0.1037 0.6037 0.0000 x4

- E_form (eV/atom) = 0.262

Computed, not measured: a relaxed LiGdGe2 crystal at the PBE-GGA level of DFT.

a = 6.9030 Å, b = 6.9030 Å, c = 6.9030 Å
α = 90.00°, β = 90.00°, γ = 90.00°
Space group Fm-3m (No. 225)
Asymmetric unit:
Li1 0.0000 0.0000 0.0000 x4
Gd1 0.0000 0.0000 0.5000 x4
Ge1 0.2500 0.2500 0.2500 x8

- energy above the lowest structure with this stoichiometry (meV/atom) = 119
- E_form (eV/atom) = -0.425

Computed, not measured: a relaxed AsC3 crystal at the PBE-GGA level of DFT.

a = 2.8375 Å, b = 4.3142 Å, c = 5.4106 Å
α = 98.51°, β = 102.65°, γ = 102.55°
Space group P1 (No. 1)
Asymmetric unit:
As1 0.0000 0.0000 0.0000 x1
C1 0.2347 0.4764 0.6335 x1
C2 0.7899 0.5727 0.7064 x1
C3 0.9843 0.2915 0.7664 x1

- energy above the lowest structure with this stoichiometry (meV/atom) = 439
- E_form (eV/atom) = 1.201

Computed, not measured: a relaxed La3Br3N crystal at the PBE-GGA level of DFT.

a = 9.0165 Å, b = 12.1167 Å, c = 7.8328 Å
α = 90.00°, β = 102.99°, γ = 90.00°
Space group C2/m (No. 12)
Asymmetric unit:
La1 0.0961 0.0000 0.3242 x4
La2 0.2117 0.3392 0.2729 x8
Br1 0.0000 0.1683 0.0000 x4
Br2 0.0000 0.2599 0.5000 x4
Br3 0.0835 0.5000 0.8125 x4
N1 0.1632 0.0000 0.6325 x4

- formation energy from raw total energies (eV per atom) = -1.466
- energy above the lowest structure with this stoichiometry (meV/atom) = 164

Computed, not measured: a relaxed AlTlS2N crystal at the PBE-GGA level of DFT.

a = 4.9441 Å, b = 4.9441 Å, c = 3.6666 Å
α = 90.00°, β = 90.00°, γ = 90.00°
Space group P4/mmm (No. 123)
Asymmetric unit:
Al1 0.0000 0.0000 0.0000 x1
Tl1 0.5000 0.5000 0.5000 x1
S1 0.0000 0.5000 0.0000 x2
N1 0.0000 0.0000 0.5000 x1

- formation energy from raw total energies (eV per atom) = 0.152
- energy above the lowest structure with this stoichiometry (meV/atom) = 0

Computed, not measured: a relaxed La2YPt crystal at the PBE-GGA level of DFT.

a = 6.2244 Å, b = 10.4100 Å, c = 3.6343 Å
α = 90.00°, β = 112.73°, γ = 90.00°
Space group C2/m (No. 12)
Asymmetric unit:
La1 0.2500 0.2500 0.0000 x4
Y1 0.0000 0.0000 0.5000 x2
Pt1 0.0000 0.5000 0.5000 x2

- energy above the lowest structure with this stoichiometry (meV/atom) = 424
- E_form (eV/atom) = -0.225

| no. | ρ (Mg/m³) | volume (Å³ per atom) |
| --- | --- | --- |
| 1 | 14.28 | 14.7 |
| 2 | 6.07 | 13.9 |
| 3 | 6.00 | 15.7 |
| 4 | 14.94 | 17.1 |
| 5 | 11.73 | 18.0 |
| 6 | 9.70 | 30.2 |
| 7 | 6.55 | 17.4 |
| 8 | 6.25 | 20.6 |
| 9 | 2.98 | 15.4 |
| 10 | 5.34 | 29.8 |
| 11 | 5.73 | 17.9 |
| 12 | 8.59 | 27.2 |